Entry 1:
A geometry-optimized Tl2HgPt2 structure. Source: Alexandria, functional GGA-PBE.

Output
ρ: 15.7 g cm⁻³
ΔE to the lowest computed polymorph: 0 meV/atom
formation enthalpy at 0 K: 6 meV per atom
calculated volume: 105.8 Å³/f.u.

Geometry as POSCAR:
```
Tl2HgPt2
1.0
-0.4634 5.5469 -5.0263
1.8564 -4.7935 -5.4611
-3.6367 -0.7932 -0.5400
Tl Pt Hg
4 4 2
Cartesian
-1.6755 0.7070 -2.8534
-0.5683 -0.7468 -8.1740
-0.6652 -2.6717 -4.6941
-1.5785 2.6319 -6.3333
0.7867 1.7151 -7.8172
1.4314 -2.1246 -6.5188
0.6063 -0.9617 -2.6702
-0.0384 2.8780 -3.9686
0.6965 0.3767 -5.2437
0.0000 0.0000 0.0000
```


Entry 2:
A geometry-optimized Cu8NiRh2 structure. Source: Alexandria, functional GGA-PBE.

Output
ρ: 9.3 g cm⁻³
formation enthalpy at 0 K: 118 meV per atom
calculated volume: 138.6 Å³/f.u.

Geometry as POSCAR:
```
Cu8NiRh2
1.0
2.5971 -0.0017 0.4697
-0.3436 5.8516 1.8902
-0.3154 0.3652 9.1869
Cu Ni Rh
8 1 2
Cartesian
1.4997 2.3551 6.2985
0.1092 0.3996 6.5571
1.0879 1.7220 1.2053
0.8677 4.4741 9.7857
0.4530 3.8405 4.6927
1.8446 5.7953 4.4306
2.1186 3.3559 2.8959
-0.1637 2.8416 8.0977
-0.3054 0.3561 8.9085
0.5740 1.3029 4.0282
1.3796 4.8926 6.9613
```


Entry 3:
A geometry-optimized AcGe structure. Source: Alexandria, functional GGA-PBE.

Output
ρ: 8.2 g cm⁻³
formation enthalpy at 0 K: -697 meV per atom
calculated volume: 60.3 Å³/f.u.

Geometry as POSCAR:
```
AcGe
1.0
4.7800 0.0000 -0.2223
0.0000 4.2826 0.0000
-2.1151 0.0000 5.9943
Ge Ac
2 2
Cartesian
2.6195 3.2119 4.8979
0.0453 1.0706 0.8740
0.1983 1.0706 4.2445
2.4666 3.2119 1.5274
```


Entry 4:
A geometry-optimized Sb4S4Cl3 structure. Source: Alexandria, functional GGA-PBE.

Output
ρ: 4.6 g cm⁻³
E_form (uncorrected): -210.6 meV/atom
calculated volume: 261.6 Å³/f.u.

Geometry as POSCAR:
```
Sb4S4Cl3
1.0
-2.7740 -2.1470 -0.6870
2.1208 0.0329 -8.6667
5.1176 -5.5003 5.8243
S Sb Cl
4 4 3
Cartesian
3.6690 -4.4646 -0.8624
2.8640 -4.4771 2.4272
1.6003 -3.1374 -5.9565
0.7953 -3.1498 -2.6669
-0.8944 -1.0659 -2.3566
0.2411 -1.0483 -6.9970
1.3323 -4.7954 0.3078
3.1321 -2.8191 -3.8371
0.9150 -1.2524 0.2192
3.5493 -6.3621 -3.7485
1.0604 0.0164 -4.3333
```


Entry 5:
A geometry-optimized ZrInSe2 structure. Source: Alexandria, functional GGA-PBE.

Output
ρ: 5.9 g cm⁻³
E_form (uncorrected): -967.3 meV/atom
calculated volume: 102.3 Å³/f.u.

Geometry as POSCAR:
```
ZrInSe2
1.0
3.7291 0.0019 0.0038
-1.8696 3.2300 -0.0007
-1.9114 1.0479 8.4921
Se Zr In
2 1 1
Cartesian
0.1809 1.6845 4.7055
-1.6902 2.7596 8.0487
0.1754 3.8385 6.3728
-1.6211 2.8017 2.0354
```


Entry 6:
A geometry-optimized La2NdZnSe5 structure. Source: Alexandria, functional GGA-PBE.

Output
ρ: 6.2 g cm⁻³
E_form (uncorrected): -1681.7 meV/atom
calculated volume: 235.3 Å³/f.u.

Geometry as POSCAR:
```
La2NdZnSe5
1.0
4.1195 0.0000 0.0000
-2.0597 8.9386 0.0000
0.0000 0.0000 12.7829
Se Zn La Nd
10 2 4 2
Cartesian
2.0597 3.2958 10.9527
0.0000 0.3454 0.2813
2.0597 3.5653 2.4521
0.0000 6.2472 0.2099
2.0597 8.5932 6.6727
2.0597 2.6914 6.6013
0.0000 8.8222 9.6184
2.0597 0.1164 3.2270
0.0000 5.3733 8.8436
0.0000 5.6428 4.5613
0.0000 8.0603 5.4320
2.0597 0.8783 11.8235
2.0597 6.7976 2.4432
2.0597 6.7674 10.7571
0.0000 2.1410 8.8346
0.0000 2.1712 4.3657
2.0597 5.6155 6.7346
0.0000 3.3231 0.3432
```


Entry 7:
A geometry-optimized NaInP2O structure. Source: Alexandria, functional GGA-PBE.

Output
ρ: 3.5 g cm⁻³
E_form (uncorrected): 867.4 meV/atom
ΔE to the lowest computed polymorph: 525 meV/atom
calculated volume: 101.4 Å³/f.u.

Geometry as POSCAR:
```
NaInP2O
1.0
-2.6739 -4.1993 0.4968
3.9262 -2.2472 2.1367
-1.2716 1.2405 3.6412
O P In Na
1 2 1 1
Cartesian
-0.6358 0.6202 1.8206
-1.3370 -2.0997 0.2484
1.9631 -1.1236 1.0684
-0.0096 -2.6030 3.1374
0.0000 0.0000 0.0000
```


Entry 8:
A geometry-optimized Dy6Mg2In structure. Source: Alexandria, functional GGA-PBE.

Output
ρ: 7.1 g cm⁻³
formation enthalpy at 0 K: -49 meV per atom
calculated volume: 265.5 Å³/f.u.

Geometry as POSCAR:
```
Dy6Mg2In
1.0
8.8290 0.4290 0.1740
-2.9481 8.3333 -0.1740
-2.9873 -4.3497 7.0937
Dy In Mg
12 2 4
Cartesian
0.3093 2.8365 5.7844
2.5843 1.5761 1.3094
-0.3710 0.2490 3.2161
3.2646 4.1636 3.8777
-2.5079 -1.3609 5.7844
5.3746 -0.5678 2.4127
-0.3862 3.5745 2.2388
-2.4810 4.9805 4.6810
-3.2544 2.1842 6.5776
5.4015 5.7735 1.3094
3.2798 0.8381 4.8550
6.1480 2.2284 0.5161
0.0000 0.0000 0.0000
-2.9677 1.9918 3.4599
3.7130 -2.4920 4.6194
2.1180 4.9332 0.9589
0.7756 -0.5206 6.1349
2.1287 -1.4287 2.6483
```


Entry 9:
A geometry-optimized PrY2ThSe4 structure. Source: Alexandria, functional GGA-PBE.

Output
ρ: 7.1 g cm⁻³
E_form (uncorrected): -1721.2 meV/atom
calculated volume: 203.6 Å³/f.u.

Geometry as POSCAR:
```
PrY2ThSe4
1.0
4.1021 0.0000 0.0000
0.0000 7.3317 -0.2223
0.0000 2.5085 6.6934
Se Th Y Pr
4 1 2 1
Cartesian
2.0511 6.2225 1.4811
0.0001 7.4742 4.8029
2.0511 3.6177 4.9899
4.1021 2.3659 1.6681
0.0000 4.9201 3.2355
0.0000 2.5085 6.6933
2.0511 1.2542 3.3467
2.0511 3.6659 -0.1112
```


Entry 10:
A geometry-optimized HfCu23Pd6 structure. Source: Alexandria, functional GGA-PBE.

Output
ρ: 9.5 g cm⁻³
formation enthalpy at 0 K: -63 meV per atom
calculated volume: 396.9 Å³/f.u.

Geometry as POSCAR:
```
HfCu23Pd6
1.0
-2.8997 -3.1668 -7.0433
4.6674 -5.1589 -4.4324
-1.9594 -8.0015 -0.4261
Cu Pd Hf
23 6 1
Cartesian
1.0452 -5.8237 -7.4728
2.3337 -2.5795 -2.2162
0.0000 0.0000 0.0000
0.8838 -4.1629 -5.7379
-1.7983 -7.6174 -8.3793
-2.9108 -7.5206 -5.0811
-0.0673 -5.7269 -4.1747
-2.4636 -11.7155 -8.2096
-0.1674 -14.2536 -10.3902
-1.4498 -1.5834 -3.5216
0.7966 -10.3170 -10.1806
-1.4509 -3.6317 -4.9767
-2.4295 -5.5842 -3.7347
-1.2370 -10.5036 -4.4290
1.2592 -12.6956 -6.9251
2.2719 -4.6117 -3.6923
-0.9797 -4.0008 -0.2131
2.7190 -8.8066 -6.8207
-0.9883 -6.0102 -1.7212
1.3540 -6.5802 -2.4293
1.6065 -8.7098 -3.5225
-0.1245 -10.6004 -7.7272
-0.0244 -2.0737 -1.5116
-0.9787 -8.0868 -3.3337
-2.3523 -9.5870 -6.6703
0.7869 -8.2404 -8.5681
2.1606 -6.7402 -5.2316
1.2324 -10.5307 -5.4334
-1.4241 -5.7965 -6.4684
-0.0959 -8.1636 -5.9509
```


Entry 11:
A geometry-optimized ScTaCoCu structure. Source: Alexandria, functional GGA-PBE.

Output
ρ: 9.4 g cm⁻³
formation enthalpy at 0 K: -78 meV per atom
calculated volume: 61.3 Å³/f.u.

Geometry as POSCAR:
```
ScTaCoCu
1.0
-2.9356 1.8210 -2.7659
-2.6520 -2.5821 -2.4256
-4.3251 -0.2080 0.9133
Cu Ta Sc Co
1 1 1 1
Cartesian
-2.4782 -0.2423 -1.0695
0.0000 0.0000 0.0000
-4.9563 -0.4846 -2.1391
-7.4345 -0.7269 -3.2086
```


Entry 12:
A geometry-optimized Cs2LaRhBr6 structure. Source: Alexandria, functional GGA-PBE.

Output
ρ: 4.5 g cm⁻³
E_form (uncorrected): -1420.2 meV/atom
calculated volume: 364.4 Å³/f.u.

Geometry as POSCAR:
```
Cs2LaRhBr6
1.0
-1.1707 0.3228 7.9235
-4.5252 -6.6045 -0.3996
1.7598 -6.3470 4.5733
Br Rh La Cs
6 1 1 2
Cartesian
-1.4723 -1.6237 1.9448
-3.6581 -4.8139 1.7518
-4.2236 -4.6580 5.5791
-3.3149 -7.9384 7.9432
-0.6212 -4.6903 4.1541
-2.0378 -1.4678 5.7721
-2.8479 -3.1409 3.7619
0.0000 0.0000 0.0000
-1.1294 -4.5825 8.1294
-2.8067 -8.0462 3.9679
```